VASP calculation (PBE) on a relaxed structure of CdInHg2.

Values from the calculation:
The magnetization comes out at 0.00 μB/f.u. As for the density of states at the Fermi level: 0.312 states/eV/atom. The crystal system is trigonal. The calculation puts the uncorrected energy at -1.0569 eV per atom. Its space group is No. 166. The mass density comes out at 10.258 Mg/m³.

Cell: 9.4817 9.4817 9.4817 Å, 21.66 21.66 21.66°
Atoms (fractional coordinates):
Cd 0.7500 0.7500 0.7500
Hg 0.0017 0.0017 0.0017
Hg 0.4983 0.4983 0.4983
In 0.2500 0.2500 0.2500

***

VASP calculation (PBE) on a relaxed structure of LaY3Tl.

Values from the calculation:
The magnetization comes out at 0.00 μB/f.u. As for the density of states at the Fermi level: 1.213 states/eV/atom. For the energy relative to the lowest polymorph listed for this composition, the calculation gives 433 kJ/mol of formula units. The crystal system is cubic. The calculation puts the uncorrected energy at -4.5874 eV per atom. Its space group is No. 221. The mass density comes out at 5.623 Mg/m³.

Cell: 5.6475 5.6475 5.6475 Å, 90.00 90.00 90.00°
Atoms (fractional coordinates):
Y 0.0000 0.5000 0.0000
Y 0.0000 0.0000 0.5000
Y 0.5000 0.0000 0.0000
Tl 0.5000 0.5000 0.5000
La 0.0000 0.0000 0.0000